DFT (PBE-GGA) results for CdRhO2 after structural relaxation.

Calculated values
Its symmetry is R-3m, No. 166.

Geometry as CIF:
```
data_CdRhO2
_chemical_formula_sum 'Cd1 Rh1 O2'
_space_group_name_H-M_alt 'P 1'
_space_group_IT_number 1
_cell_length_a 6.938
_cell_length_b 6.938
_cell_length_c 6.938
_cell_angle_alpha 25.70
_cell_angle_beta 25.70
_cell_angle_gamma 25.70
loop_
_space_group_symop_operation_xyz
'x,y,z'
loop_
_atom_site_label
_atom_site_fract_x
_atom_site_fract_y
_atom_site_fract_z
Cd1 0.000 0.000 0.000
Rh1 0.500 0.500 0.500
O1 0.117 0.117 0.117
O2 0.883 0.883 0.883
```

DFT (PBE-GGA) results for CdRh2O4 after structural relaxation.

Calculated values
Its symmetry is P2/m, No. 10.

Geometry as CIF:
```
data_CdRh2O4
_chemical_formula_sum 'Cd1 Rh2 O4'
_space_group_name_H-M_alt 'P 1'
_space_group_IT_number 1
_cell_length_a 5.299
_cell_length_b 3.154
_cell_length_c 5.576
_cell_angle_alpha 90.00
_cell_angle_beta 95.52
_cell_angle_gamma 90.00
loop_
_space_group_symop_operation_xyz
'x,y,z'
loop_
_atom_site_label
_atom_site_fract_x
_atom_site_fract_y
_atom_site_fract_z
Cd1 0.000 0.000 0.000
Rh1 0.000 0.000 0.500
Rh2 0.500 0.500 0.500
O1 0.178 0.500 0.695
O2 0.317 0.000 0.313
O3 0.683 0.000 0.687
O4 0.822 0.500 0.305
```

DFT (PBE-GGA) results for Cd3RhO after structural relaxation.

Calculated values
Its symmetry is Pm-3m, No. 221.

Geometry as CIF:
```
data_Cd3RhO
_chemical_formula_sum 'Cd3 Rh1 O1'
_space_group_name_H-M_alt 'P 1'
_space_group_IT_number 1
_cell_length_a 4.502
_cell_length_b 4.502
_cell_length_c 4.502
_cell_angle_alpha 90.00
_cell_angle_beta 90.00
_cell_angle_gamma 90.00
loop_
_space_group_symop_operation_xyz
'x,y,z'
loop_
_atom_site_label
_atom_site_fract_x
_atom_site_fract_y
_atom_site_fract_z
Cd1 0.000 0.000 0.500
Cd2 0.000 0.500 0.000
Cd3 0.500 0.000 0.000
Rh1 0.500 0.500 0.500
O1 0.000 0.000 0.000
```

DFT (PBE-GGA) results for Cd2RuRhO6 after structural relaxation.

Calculated values
Its symmetry is P4mm, No. 99.

Geometry as CIF:
```
data_Cd2RuRhO6
_chemical_formula_sum 'Cd2 Ru1 Rh1 O6'
_space_group_name_H-M_alt 'P 1'
_space_group_IT_number 1
_cell_length_a 5.612
_cell_length_b 5.612
_cell_length_c 4.041
_cell_angle_alpha 90.00
_cell_angle_beta 90.00
_cell_angle_gamma 90.00
loop_
_space_group_symop_operation_xyz
'x,y,z'
loop_
_atom_site_label
_atom_site_fract_x
_atom_site_fract_y
_atom_site_fract_z
Cd1 0.000 0.500 0.000
Cd2 0.500 0.000 0.000
Ru1 0.000 0.000 0.587
Rh1 0.500 0.500 0.600
O1 0.000 0.000 0.126
O2 0.246 0.246 0.668
O3 0.246 0.754 0.668
O4 0.500 0.500 0.116
O5 0.754 0.246 0.668
O6 0.754 0.754 0.668
```

DFT (PBE-GGA) results for Cd2RhSO after structural relaxation.

Calculated values
Its symmetry is P4/mmm, No. 123.

Geometry as CIF:
```
data_Cd2RhSO
_chemical_formula_sum 'Cd2 Rh1 S1 O1'
_space_group_name_H-M_alt 'P 1'
_space_group_IT_number 1
_cell_length_a 5.013
_cell_length_b 5.013
_cell_length_c 4.268
_cell_angle_alpha 90.00
_cell_angle_beta 90.00
_cell_angle_gamma 90.00
loop_
_space_group_symop_operation_xyz
'x,y,z'
loop_
_atom_site_label
_atom_site_fract_x
_atom_site_fract_y
_atom_site_fract_z
Cd1 0.000 0.500 0.000
Cd2 0.500 0.000 0.000
Rh1 0.000 0.000 0.500
S1 0.000 0.000 0.000
O1 0.500 0.500 0.500
```

DFT (PBE-GGA) results for CdSb2RhO after structural relaxation.

Calculated values
Its symmetry is P4/mmm, No. 123.

Geometry as CIF:
```
data_CdSb2RhO
_chemical_formula_sum 'Cd1 Sb2 Rh1 O1'
_space_group_name_H-M_alt 'P 1'
_space_group_IT_number 1
_cell_length_a 4.973
_cell_length_b 4.973
_cell_length_c 5.142
_cell_angle_alpha 90.00
_cell_angle_beta 90.00
_cell_angle_gamma 90.00
loop_
_space_group_symop_operation_xyz
'x,y,z'
loop_
_atom_site_label
_atom_site_fract_x
_atom_site_fract_y
_atom_site_fract_z
Cd1 0.000 0.000 0.000
Sb1 0.000 0.500 0.500
Sb2 0.500 0.000 0.500
Rh1 0.000 0.000 0.500
O1 0.500 0.500 0.000
```

Ordered calculated total energy results: -0.380 -0.421 -0.224 -0.398 -0.230 -0.286; unit Ry per atom.
Ordered ΔE_f (raw) results: -14.41 -15.31 -0.91 -13.82 12.08 9.32; unit kcal/mol of atoms.
Ordered DOS(E_F) results: 2.3 2.0 2.3 5.2 5.0 3.1; unit states/eV/cell.